Model w:
YI2NF after structural relaxation. Source: Alexandria, functional PBE.

Unit cell a=5.980 b=5.980 c=4.680 alpha=90.00 beta=90.00 gamma=90.00
Sites, in units of the cell vectors:
Y: 0.000 0.000 0.000
I: 0.000 0.500 0.000
I: 0.500 0.000 0.000
N: 0.000 0.000 0.500
F: 0.500 0.500 0.500


Model x:
YI2NF after structural relaxation. Source: Alexandria, functional PBE.

Unit cell a=5.719 b=5.719 c=3.709 alpha=90.00 beta=90.00 gamma=90.00
Sites, in units of the cell vectors:
Y: 0.000 0.000 0.000
I: 0.000 0.500 0.500
I: 0.500 0.000 0.500
N: 0.500 0.500 0.000
F: 0.500 0.500 0.500


Which structure is most stable, and how do the rest compare? From most to least stable: model w, model x.